# Na2SrCl4

A relaxed Na2SrCl4 crystal (PBE, the Alexandria database).

Cell and atoms, written as extended XYZ:
```
7
Lattice="7.3702 -2.1577 0.0000 7.3702 2.1577 0.0000 -2.7973 0.0000 6.3994" Properties=species:S:1:pos:R:3 pbc="T T T"
Na 2.5774 0.0000 1.1800
Na 9.3657 0.0000 5.2194
Sr 5.9716 0.0000 3.1997
Cl 0.5988 0.0000 3.1165
Cl 5.3049 0.0000 0.3967
Cl 6.6383 0.0000 6.0028
Cl 11.3443 0.0000 3.2829
```

Calculated values
distance to the lowest polymorph of the same formula = 0.020 eV/atom
D(E_F) = 0.000 states/eV per cell
total energy = -3.726 eV/atom
formation energy (no corrections) = -2.054 eV/atom

# PaTlAg2O8

A relaxed PaTlAg2O8 crystal (PBE, the Alexandria database).

Cell and atoms, written as extended XYZ:
```
12
Lattice="-3.6253 3.6253 3.4930 3.6253 -3.6253 3.4930 3.6253 3.6253 -3.4930" Properties=species:S:1:pos:R:3 pbc="T T T"
Pa 0.0000 0.0000 0.0000
Tl 3.6253 0.0000 1.7465
Ag 0.0000 0.0000 3.4930
Ag 0.0000 3.6253 1.7465
O 2.3559 3.6253 -1.6147
O 1.2695 0.0000 1.8783
O 0.0000 2.2812 0.1512
O 3.6253 2.3559 1.6147
O 0.0000 4.9695 0.1512
O 0.0000 1.2695 5.1078
O -1.3441 3.6253 3.3419
O 1.3441 3.6253 3.3419
```

Calculated values
D(E_F) = 7.629 states/eV per cell
total energy = -5.571 eV/atom
formation energy (no corrections) = -0.802 eV/atom

# TlRe3Os

A relaxed TlRe3Os crystal (PBE, the Alexandria database).

Cell and atoms, written as extended XYZ:
```
5
Lattice="4.7798 0.0000 0.0000 0.0000 4.7798 0.0000 0.0000 0.0000 4.7798" Properties=species:S:1:pos:R:3 pbc="T T T"
Tl 0.0000 0.0000 0.0000
Re 0.0000 2.3899 2.3899
Re 2.3899 0.0000 2.3899
Re 2.3899 2.3899 0.0000
Os 2.3899 2.3899 2.3899
```

Calculated values
energy relative to the elements = 2137 meV per atom
distance to the lowest polymorph of the same formula = 0.000 eV/atom
D(E_F) = 5.859 states/eV per cell
total energy = -8.051 eV/atom

# TbY2Tm4

A relaxed TbY2Tm4 crystal (PBE, the Alexandria database).

Cell and atoms, written as extended XYZ:
```
14
Lattice="-3.3408 5.6062 6.0464 3.3408 -5.6062 6.0464 3.3408 5.6062 -6.0464" Properties=species:S:1:pos:R:3 pbc="T T T"
Tb -1.6704 2.8031 3.0232
Tb 1.6704 2.8031 3.0232
Y 0.0000 0.0000 0.0000
Y 3.3408 -2.8031 3.3531
Y 0.0000 5.6062 0.0000
Y 0.0000 8.4094 2.6933
Tm 3.3408 0.0876 1.6755
Tm 1.8395 2.8031 -0.1306
Tm 4.8420 2.8031 -0.1306
Tm 0.0000 0.0876 4.3709
Tm 3.3408 5.5187 1.6755
Tm -1.5013 2.8031 6.1770
Tm 1.5013 2.8031 6.1770
Tm 0.0000 5.5187 4.3709
```

Calculated values
energy relative to the elements = 280 meV per atom
distance to the lowest polymorph of the same formula = 0.276 eV/atom
D(E_F) = 22.690 states/eV per cell
total energy = -4.784 eV/atom

# PmMg5Au3

A relaxed PmMg5Au3 crystal (PBE, the Alexandria database).

Cell and atoms, written as extended XYZ:
```
18
Lattice="1.9537 -7.3980 0.0000 1.9537 7.3980 0.0000 0.0000 0.0000 13.7801" Properties=species:S:1:pos:R:3 pbc="T T T"
Pm 1.9537 4.9017 10.3350
Pm 1.9537 -4.9017 3.4450
Mg 0.0000 0.0000 0.0000
Mg 0.0000 0.0000 6.8900
Mg 1.9537 4.4741 0.8251
Mg 1.9537 4.4741 6.0649
Mg 1.9537 0.8149 8.9155
Mg 1.9537 0.8149 11.7546
Mg 1.9537 -0.8149 2.0255
Mg 1.9537 -0.8149 4.8645
Mg 1.9537 -4.4741 7.7152
Mg 1.9537 -4.4741 12.9549
Au 1.9537 5.1684 3.4450
Au 1.9537 1.7574 0.9432
Au 1.9537 1.7574 5.9468
Au 1.9537 -1.7574 7.8332
Au 1.9537 -1.7574 12.8368
Au 1.9537 -5.1684 10.3350
```

Calculated values
energy relative to the elements = -472 meV per atom
D(E_F) = 7.088 states/eV per cell
total energy = -2.978 eV/atom

# Tb5ErTm

A relaxed Tb5ErTm crystal (PBE, the Alexandria database).

Cell and atoms, written as extended XYZ:
```
7
Lattice="-3.9844 5.8301 3.0485 3.9844 -5.8301 3.0485 3.9844 5.8301 -3.0485" Properties=species:S:1:pos:R:3 pbc="T T T"
Tb 0.0000 0.0000 0.0000
Tb 3.9844 2.9720 1.4201
Tb -1.4196 5.8301 1.4297
Tb 1.4196 5.8301 1.4297
Tb 0.0000 2.8581 4.4686
Er 3.9844 0.0000 1.4362
Tm 0.0000 0.0000 2.9023
```

Calculated values
energy relative to the elements = 968 meV per atom
distance to the lowest polymorph of the same formula = 0.778 eV/atom
D(E_F) = 8.431 states/eV per cell
total energy = -3.630 eV/atom

# Hf4P3H

A relaxed Hf4P3H crystal (PBE, the Alexandria database).

Cell and atoms, written as extended XYZ:
```
16
Lattice="8.1243 0.0000 0.0000 0.0000 7.1058 0.0000 0.0000 0.0000 5.2215" Properties=species:S:1:pos:R:3 pbc="T T T"
Hf 0.0000 0.9535 0.0000
Hf 0.0000 6.0526 2.6752
Hf 1.6228 2.0170 2.6684
Hf 2.4394 5.0888 0.0577
Hf 4.0622 1.0531 0.0645
Hf 4.0622 6.1522 2.6107
Hf 5.6850 5.0888 0.0577
Hf 6.5016 2.0170 2.6684
P 0.0000 5.5508 0.0593
P 1.9413 2.5372 0.0535
P 2.1208 4.5686 2.6643
P 4.0622 1.5549 2.6700
P 6.0035 4.5686 2.6643
P 6.1830 2.5372 0.0535
H 0.0000 0.8957 1.9796
H 4.0622 6.2101 4.5904
```

Calculated values
D(E_F) = 4.190 states/eV per cell
total energy = -8.140 eV/atom

# SnH

A relaxed SnH crystal (PBE, the Alexandria database).

Cell and atoms, written as extended XYZ:
```
2
Lattice="3.2234 0.0000 0.0000 -1.6117 2.7916 0.0000 0.0000 0.0000 3.9888" Properties=species:S:1:pos:R:3 pbc="T T T"
Sn 0.0000 0.0000 0.0000
H 0.0000 0.0000 1.9944
```

Calculated values
distance to the lowest polymorph of the same formula = 0.223 eV/atom
D(E_F) = 0.645 states/eV per cell
total energy = -3.385 eV/atom